No. 1
VASP calculation (GGA+U) on AcFe2MoO6 after structural relaxation.

VASP energy ... -7.18 eV per atom
Total magnetic moment ... 8.98 μB/f.u.

abc: 5.4867 5.6052 5.7781
angles: 61.41 88.11 61.49
Closest atoms and distances in Å follow each position.
Positions (direct):
Ac 0.0000 0.0000 0.0000  5 O 2.41-2.66
Fe 0.2768 0.4624 0.7948  6 O 2.07-2.29
Fe 0.7747 0.4650 0.3272  5 O 2.04-2.29
Mo 0.4810 0.0590 0.4101  4 O 1.89-2.02
O 0.0834 0.4866 0.1254  2 Fe 2.04-2.18, 1 Mo 2.16
O 0.2246 0.9539 0.5971  1 Mo 1.89
O 0.4489 0.9463 0.1332  1 Mo 2.02, 1 Fe 2.09
O 0.5625 0.2620 0.6053  2 Fe 2.07-2.15, 1 Mo 2.13
O 0.6100 0.3248 0.1228  1 Mo 2.01, 2 Fe 2.11-2.24
O 0.8662 0.6563 0.5636  1 Mo 2.00, 1 Fe 2.12


No. 2
VASP calculation (GGA+U) on AcFeMoO6 after structural relaxation.

VASP energy ... -7.14 eV per atom
Total magnetic moment ... 1.00 μB/f.u.

abc: 5.1907 5.1907 5.3653
angles: 90.01 90.01 120.11
Closest atoms and distances in Å follow each position.
Positions (direct):
Ac 0.0000 0.0000 0.0000  6 O 2.53-2.54
Fe 0.3331 0.6669 0.5000  6 O 1.96-1.97
Mo 0.6661 0.3339 0.5000  6 O 1.94-1.95
O 0.3799 0.0021 0.7033  1 Mo 1.95, 1 Fe 1.96
O 0.3856 0.3825 0.2934  1 Mo 1.94, 1 Fe 1.97
O 0.6175 0.6144 0.7066  1 Mo 1.94, 1 Fe 1.97
O 0.6202 0.0027 0.2958  1 Mo 1.95, 1 Fe 1.96
O 0.9973 0.3798 0.7042  1 Mo 1.95, 1 Fe 1.96
O 0.9979 0.6201 0.2967  1 Mo 1.95, 1 Fe 1.96


No. 3
VASP calculation (GGA+U) on AcFeMo2O8 after structural relaxation.

VASP energy ... -7.19 eV per atom
Total magnetic moment ... 5.00 μB/f.u.

abc: 5.9127 5.9127 6.7612
angles: 90.00 90.00 120.00
Closest atoms and distances in Å follow each position.
Positions (direct):
Ac 0.0000 0.0000 0.0000  6 O 2.59
Fe 0.0000 0.0000 0.5000  6 O 2.13
Mo 0.3333 0.6667 0.2313  4 O 1.79-1.84
Mo 0.6667 0.3333 0.7687  4 O 1.79-1.84
O 0.1587 0.3175 0.2975  1 Mo 1.84
O 0.1587 0.8413 0.2975  1 Mo 1.84
O 0.3175 0.1587 0.7025  1 Mo 1.84
O 0.3333 0.6667 0.9663  1 Mo 1.79
O 0.6667 0.3333 0.0337  1 Mo 1.79
O 0.6825 0.8413 0.2975  1 Mo 1.84
O 0.8413 0.1587 0.7025  1 Mo 1.84
O 0.8413 0.6825 0.7025  1 Mo 1.84


No. 4
VASP calculation (GGA+U) on AcFeMoO5 after structural relaxation.

VASP energy ... -7.40 eV per atom
Total magnetic moment ... 4.96 μB/f.u.

abc: 5.9633 5.9633 7.8193
angles: 105.22 105.22 106.48
Closest atoms and distances in Å follow each position.
Positions (direct):
Ac 0.1780 0.8220 0.7500  7 O 2.52-2.61
Ac 0.8220 0.1780 0.2500  7 O 2.52-2.61
Fe 0.1986 0.8014 0.2500  4 O 1.97-2.06
Fe 0.8014 0.1986 0.7500  4 O 1.97-2.06
Mo 0.5000 0.5000 0.0000  6 O 1.92-2.09
Mo 0.5000 0.5000 0.5000  6 O 1.92-2.09
O 0.1633 0.2576 0.9052  1 Mo 1.92, 1 Fe 2.06
O 0.1986 0.6120 0.4219  1 Fe 1.97, 1 Mo 2.09
O 0.2576 0.1633 0.4052  1 Mo 1.92, 1 Fe 2.06
O 0.3880 0.8014 0.0781  1 Fe 1.97, 1 Mo 2.09
O 0.4415 0.5585 0.7500  2 Mo 2.03
O 0.5585 0.4415 0.2500  2 Mo 2.03
O 0.6120 0.1986 0.9219  1 Fe 1.97, 1 Mo 2.09
O 0.7424 0.8367 0.5948  1 Mo 1.92, 1 Fe 2.06
O 0.8014 0.3880 0.5781  1 Fe 1.97, 1 Mo 2.09
O 0.8367 0.7424 0.0948  1 Mo 1.92, 1 Fe 2.06


Across the entries above, DOS at the Fermi energy takes the values 0.0; 0.0; 7.1; 0.0 states/eV/f.u., respectively.